Computed, not measured: a crystal of CoCl3 relaxed with PBEsol at the SCAN level of DFT.

a = 4.5948 Å, b = 4.5948 Å, c = 4.5948 Å
α = 60.00°, β = 60.00°, γ = 60.00°
Each line ends with the local moment (μB).
Positions (direct):
Co: 0.0000 0.0000 0.0000  2.61
Cl: 0.2500 0.2500 0.2500  0.30
Cl: 0.5000 0.5000 0.5000  0.59
Cl: 0.7500 0.7500 0.7500  0.30

Computed, not measured: a crystal of CoCl2 relaxed with PBEsol at the SCAN level of DFT.

a = 3.0178 Å, b = 3.0178 Å, c = 6.4770 Å
α = 103.47°, β = 103.47°, γ = 90.00°
Each line ends with the local moment (μB).
Positions (direct):
Co: 0.0000 0.0000 0.0000  2.55
Cl: 0.6188 0.6188 0.2377  0.18
Cl: 0.3812 0.3812 0.7623  0.18

Computed, not measured: a crystal of CoCl2 relaxed with PBEsol at the SCAN level of DFT.

a = 3.4076 Å, b = 3.4076 Å, c = 6.0624 Å
α = 90.00°, β = 90.00°, γ = 120.00°
Each line ends with the local moment (μB).
Positions (direct):
Co: 0.0000 0.0000 0.0000  1.04
Cl: 0.6667 0.3333 0.7787  -0.03
Cl: 0.3333 0.6667 0.2213  -0.03

Computed, not measured: a crystal of CrCoCl2 relaxed with PBEsol at the SCAN level of DFT.

a = 3.1582 Å, b = 3.1582 Å, c = 6.1912 Å
α = 90.00°, β = 90.00°, γ = 90.00°
Each line ends with the local moment (μB).
Positions (direct):
Cr: 0.5000 0.5000 0.5000  4.29
Co: 0.5000 0.5000 0.0000  2.04
Cl: 0.0000 0.0000 0.7588  0.08
Cl: 0.0000 0.0000 0.2412  0.08

Computed properties:
ΔE to the lowest computed polymorph   0.0 kJ per mole of atoms

Computed, not measured: a crystal of CrCoCl2 relaxed with PBEsol at the SCAN level of DFT.

a = 4.3899 Å, b = 4.3899 Å, c = 4.3899 Å
α = 60.00°, β = 60.00°, γ = 60.00°
Each line ends with the local moment (μB).
Positions (direct):
Cr: 0.5000 0.5000 0.5000  4.22
Co: 0.0000 0.0000 0.0000  2.10
Cl: 0.7500 0.7500 0.7500  0.10
Cl: 0.2500 0.2500 0.2500  0.10

Computed properties:
ΔE to the lowest computed polymorph   2.7 kJ per mole of atoms

Computed, not measured: a crystal of Cr2CoCl relaxed with PBEsol at the SCAN level of DFT.

a = 2.8387 Å, b = 3.1970 Å, c = 6.1410 Å
α = 89.95°, β = 90.00°, γ = 90.00°
Positions (direct):
Cr: 0.0000 0.0004 0.8281
Cr: 0.0000 0.9996 0.1719
Co: 0.5000 0.5000 0.0000
Cl: 0.5000 0.0000 0.5000

Computed, not measured: a crystal of CrCoCl relaxed with PBEsol at the SCAN level of DFT.

a = 3.9625 Å, b = 3.9625 Å, c = 3.9625 Å
α = 60.00°, β = 60.00°, γ = 60.00°
Each line ends with the local moment (μB).
Positions (direct):
Cr: 0.0000 0.0000 0.0000  3.80
Co: 0.2500 0.2500 0.2500  -0.71
Cl: 0.5000 0.5000 0.5000  0.10

Computed properties:
ΔE to the lowest computed polymorph   0.0 kJ per mole of atoms

Computed, not measured: a crystal of CrCo2Cl relaxed with PBEsol at the SCAN level of DFT.

a = 3.9900 Å, b = 3.9900 Å, c = 3.9900 Å
α = 60.00°, β = 60.00°, γ = 60.00°
Each line ends with the local moment (μB).
Positions (direct):
Cr: 0.7500 0.7500 0.7500  -2.17
Co: 0.0000 0.0000 0.0000  1.27
Co: 0.2500 0.2500 0.2500  1.80
Cl: 0.5000 0.5000 0.5000  0.04

Computed properties:
ΔE to the lowest computed polymorph   38.6 kJ per mole of atoms

Computed, not measured: a crystal of CrCo3Cl relaxed with PBEsol at the SCAN level of DFT.

a = 4.0242 Å, b = 4.0242 Å, c = 4.0242 Å
α = 90.00°, β = 90.00°, γ = 90.00°
Each line ends with the local moment (μB).
Positions (direct):
Cr: 0.5000 0.5000 0.5000  3.73
Co: 0.0000 0.5000 0.0000  1.14
Co: 0.0000 0.0000 0.5000  1.14
Co: 0.5000 0.0000 0.0000  1.14
Cl: 0.0000 0.0000 0.0000  0.07

Computed, not measured: a crystal of CrCo2Cl relaxed with PBEsol at the SCAN level of DFT.

a = 2.7305 Å, b = 2.7305 Å, c = 7.5710 Å
α = 79.61°, β = 79.61°, γ = 60.00°
Each line ends with the local moment (μB).
Positions (direct):
Cr: 0.5000 0.5000 0.5000  0.98
Co: 0.2480 0.2480 0.2560  1.62
Co: 0.7520 0.7520 0.7440  1.62
Cl: 0.0000 0.0000 0.0000  0.17

Computed properties:
ΔE to the lowest computed polymorph   0.0 kJ per mole of atoms

Computed, not measured: a crystal of NaCr2CoCl relaxed with PBEsol at the SCAN level of DFT.

a = 4.5756 Å, b = 5.1088 Å, c = 5.1088 Å
α = 90.00°, β = 90.00°, γ = 90.00°
Each line ends with the local moment (μB).
Positions (direct):
Na: 0.0000 0.0000 0.0000  0.07
Cr: 0.0000 0.0000 0.5000  4.39
Cr: 0.0000 0.5000 0.0000  4.39
Co: 0.5000 0.5000 0.5000  1.98
Cl: 0.5000 0.0000 0.0000  0.10

Computed, not measured: a crystal of Cs2CoCl4 relaxed with PBEsol at the SCAN level of DFT.

a = 7.2324 Å, b = 9.6815 Å, c = 12.6598 Å
α = 90.00°, β = 90.00°, γ = 90.00°
Each line ends with the local moment (μB).
Positions (direct):
Cs: 0.7500 0.6392 0.9008  0.00
Cs: 0.7500 0.1392 0.5992  0.00
Cs: 0.2500 0.3608 0.0992  0.00
Cs: 0.2500 0.8608 0.4008  0.00
Cs: 0.7500 0.9790 0.1703  0.00
Cs: 0.7500 0.4790 0.3297  0.00
Cs: 0.2500 0.0210 0.8297  0.00
Cs: 0.2500 0.5210 0.6703  0.00
Co: 0.7500 0.2371 0.9216  2.51
Co: 0.7500 0.7371 0.5784  2.51
Co: 0.2500 0.7629 0.0784  2.51
Co: 0.2500 0.2629 0.4216  2.51
Cl: 0.7500 0.0098 0.8971  0.06
Cl: 0.7500 0.5098 0.6029  0.06
Cl: 0.2500 0.9902 0.1029  0.06
Cl: 0.2500 0.4902 0.3971  0.06
Cl: 0.7500 0.3138 0.0870  0.07
Cl: 0.7500 0.8138 0.4130  0.07
Cl: 0.2500 0.6862 0.9130  0.07
Cl: 0.2500 0.1862 0.5870  0.07
Cl: 0.0005 0.3259 0.8477  0.07
Cl: 0.4995 0.8259 0.6523  0.07
Cl: 0.5005 0.6741 0.1523  0.07
Cl: 0.9995 0.1741 0.3477  0.07
Cl: 0.9995 0.6741 0.1523  0.07
Cl: 0.5005 0.1741 0.3477  0.07
Cl: 0.4995 0.3259 0.8477  0.07
Cl: 0.0005 0.8259 0.6523  0.07

Computed, not measured: a crystal of Cs3CoCl5 relaxed with PBEsol at the SCAN level of DFT.

a = 9.1310 Å, b = 9.5952 Å, c = 9.1310 Å
α = 61.59°, β = 90.00°, γ = 118.41°
Each line ends with the local moment (μB).
Positions (direct):
Cs: 0.7500 0.5000 0.2500  0.00
Cs: 0.2500 0.5000 0.7500  0.00
Cs: 0.6642 0.0000 0.1642  0.00
Cs: 0.3358 0.0000 0.8358  0.00
Cs: 0.1642 0.0000 0.3358  0.00
Cs: 0.8358 0.0000 0.6642  0.00
Co: 0.7500 0.5000 0.7500  2.52
Co: 0.2500 0.5000 0.2500  2.52
Cl: 0.0000 0.0000 0.0000  0.00
Cl: 0.5000 0.0000 0.5000  0.00
Cl: 0.9809 0.6842 0.7966  0.07
Cl: 0.7034 0.6842 0.5191  0.07
Cl: 0.4809 0.6842 0.0191  0.07
Cl: 0.2034 0.6842 0.2966  0.07
Cl: 0.0191 0.3158 0.2034  0.07
Cl: 0.2966 0.3158 0.4809  0.07
Cl: 0.5191 0.3158 0.9809  0.07
Cl: 0.7966 0.3158 0.7034  0.07

Computed, not measured: a crystal of CoCu2Cl relaxed with PBEsol at the SCAN level of DFT.

a = 2.7289 Å, b = 4.0595 Å, c = 5.2205 Å
α = 112.75°, β = 104.96°, γ = 90.47°
Each line ends with the local moment (μB).
Positions (direct):
Cl: 0.0000 0.0000 0.0000  0.02
Co: 0.5000 0.5000 0.0000  1.74
Cu: 0.0000 0.5000 0.5000  -0.01
Cu: 0.5000 0.0000 0.5000  -0.01

Computed properties:
ΔE to the lowest computed polymorph   28.3 kJ per mole of atoms

Computed, not measured: a crystal of CoCu2Cl relaxed with PBEsol at the SCAN level of DFT.

a = 2.8563 Å, b = 2.8563 Å, c = 7.5702 Å
α = 79.13°, β = 79.13°, γ = 60.00°
Each line ends with the local moment (μB).
Positions (direct):
Cl: 0.5000 0.5000 0.5000  0.01
Co: 0.0000 0.0000 0.0000  1.83
Cu: 0.2506 0.2506 0.2482  0.05
Cu: 0.7494 0.7494 0.7518  0.05

Computed properties:
ΔE to the lowest computed polymorph   13.1 kJ per mole of atoms

Computed, not measured: a crystal of CoCu2Cl relaxed with PBEsol at the SCAN level of DFT.

a = 2.8203 Å, b = 4.0184 Å, c = 4.3773 Å
α = 90.00°, β = 90.00°, γ = 90.00°
Each line ends with the local moment (μB).
Positions (direct):
Cl: 0.5000 0.0000 0.5000  0.05
Co: 0.0000 0.5000 0.5000  1.84
Cu: 0.0000 0.0000 0.0000  0.01
Cu: 0.5000 0.5000 0.0000  0.02

Computed properties:
ΔE to the lowest computed polymorph   24.4 kJ per mole of atoms

Computed, not measured: a crystal of CoCu2Cl relaxed with PBEsol at the SCAN level of DFT.

a = 2.9091 Å, b = 3.0602 Å, c = 6.2334 Å
α = 89.80°, β = 90.00°, γ = 90.00°
Each line ends with the local moment (μB).
Positions (direct):
Cl: 0.0000 0.5038 0.5142  0.05
Co: 0.5000 0.5002 0.7962  1.97
Cu: 0.0000 0.9988 0.9935  0.08
Cu: 0.5000 0.4972 0.1961  0.00

Computed properties:
ΔE to the lowest computed polymorph   0.0 kJ per mole of atoms

Computed, not measured: a crystal of LaCoCu2Cl relaxed with PBEsol at the SCAN level of DFT.

a = 5.2470 Å, b = 5.2971 Å, c = 5.2971 Å
α = 90.00°, β = 90.00°, γ = 90.00°
Each line ends with the local moment (μB).
Positions (direct):
Cl: 0.5000 0.0000 0.0000  0.02
Co: 0.5000 0.5000 0.5000  2.20
Cu: 0.0000 0.0000 0.5000  0.01
Cu: 0.0000 0.5000 0.0000  0.01
La: 0.0000 0.0000 0.0000  -0.01

Computed, not measured: a crystal of CoCuPCl2 relaxed with PBEsol at the SCAN level of DFT.

a = 4.1824 Å, b = 4.6031 Å, c = 4.6031 Å
α = 90.00°, β = 90.00°, γ = 90.00°
Positions (direct):
P: 0.5000 0.0000 0.0000
Co: 0.0000 0.0000 0.0000
Cu: 0.5000 0.5000 0.5000
Cl: 0.0000 0.0000 0.5000
Cl: 0.0000 0.5000 0.0000

Computed, not measured: a crystal of Ti2CoCuCl relaxed with PBEsol at the SCAN level of DFT.

a = 4.2389 Å, b = 4.6546 Å, c = 4.6546 Å
α = 90.00°, β = 90.00°, γ = 90.00°
Each line ends with the local moment (μB).
Positions (direct):
Cl: 0.5000 0.0000 0.0000  -0.04
Co: 0.5000 0.5000 0.5000  2.08
Cu: 0.0000 0.0000 0.0000  -0.10
Ti: 0.0000 0.0000 0.5000  -1.36
Ti: 0.0000 0.5000 0.0000  -1.36

Let's list density of states at the Fermi level in order: 4.335; 0.000; 4.090; 3.298; 5.768; 2.870; 5.003; 2.071; 4.921; 3.747; 1.261; 0.000; 0.000; 1.920; 1.923; 1.139; 0.773; 2.344; 2.199; 3.303 states/eV per cell.
Let's list ΔE_f (raw) in order: 0.317; -0.503; -0.738; 0.114; 0.142; 0.423; 0.744; 0.891; 0.874; 0.491; 1.149; -1.751; -1.854; 0.431; 0.274; 0.391; 0.138; 0.820; 0.427; 1.000 eV per atom.